AcCeHoEr | PBE | relaxed

It has space group F-43m (No. 216), with a = 8.208 Å, b = 8.208 Å, c = 8.208 Å, α = 90.00°, β = 90.00° and γ = 90.00°. The distinct sites, in fractional coordinates, are Ac at (0.000, 0.000, 0.000), Ce at (0.000, 0.000, 0.500), Ho at (0.250, 0.250, 0.750) and Er at (0.250, 0.250, 0.250).

As for the volume: 34.6 Å³ per atom. For the total energy, the calculation gives -73.89 eV/cell. Its density is 8.400 Mg/m³.


CsSr3Pd | PBE | relaxed

It has space group R-3 (No. 148, hexagonal axes), with a = 7.6491 Å, b = 7.6491 Å, c = 35.1966 Å, α = 90.00°, β = 90.00° and γ = 120.00°. The distinct sites, in fractional coordinates, are Cs at (0.0000, 0.0000, 0.1670), Sr at (0.0038, 0.3429, 0.0475) and Pd at (0.0000, 0.0000, 0.3323).

As for the volume: 59.4 Å³ per atom. For the total energy, the calculation gives -72.61 eV/cell. Its density is 2.805 Mg/m³.


MnZnTc2C | PBE | relaxed

It has space group P4/mmm (No. 123), with a = 4.078 Å, b = 4.078 Å, c = 3.866 Å, α = 90.00°, β = 90.00° and γ = 90.00°. The distinct sites, in fractional coordinates, are Mn at (0.000, 0.000, 0.000), Zn at (0.500, 0.500, 0.000), Tc at (0.000, 0.500, 0.500) and C at (0.000, 0.000, 0.500).

As for the volume: 12.9 Å³ per atom. For the total energy, the calculation gives -39.88 eV/cell. Its density is 8.482 Mg/m³.


Zr5Tl3 | PBE | relaxed

It has space group Fmmm (No. 69), with a = 6.621 Å, b = 8.331 Å, c = 13.278 Å, α = 90.00°, β = 90.00° and γ = 90.00°. The distinct sites, in fractional coordinates, are Zr at (0.000, 0.000, 0.000), Zr at (0.250, 0.250, 0.124), Tl at (0.000, 0.000, 0.244) and Tl at (0.000, 0.000, 0.500).

As for the volume: 22.9 Å³ per atom. For the total energy, the calculation gives -200.95 eV/cell. Its density is 9.697 Mg/m³.


B2Ir2N | PBE | relaxed

It has space group I4/mmm (No. 139), with a = 2.871 Å, b = 2.871 Å, c = 12.080 Å, α = 90.00°, β = 90.00° and γ = 90.00°. The distinct sites, in fractional coordinates, are B at (0.000, 0.500, 0.250), Ir at (0.000, 0.000, 0.119) and N at (0.000, 0.000, 0.500).

The uncorrected formation energy comes out at 0.473 eV/atom. As for the volume: 10.0 Å³ per atom. Its density is 14.008 Mg/m³.


TlSn2Bi | PBE | relaxed

It has space group R3m (No. 160, hexagonal axes), with a = 4.4632 Å, b = 4.4632 Å, c = 22.6921 Å, α = 90.00°, β = 90.00° and γ = 120.00°. The distinct sites, in fractional coordinates, are Tl at (0.0000, 0.0000, 0.0000), Sn at (0.0000, 0.0000, 0.2477), Sn at (0.0000, 0.0000, 0.4167) and Bi at (0.0000, 0.0000, 0.8306).

As for the volume: 32.6 Å³ per atom. For the total energy, the calculation gives -41.24 eV/cell. Its density is 8.281 Mg/m³.


AlBIr2 | PBE | relaxed

It has space group P4/mmm (No. 123), with a = 4.051 Å, b = 4.051 Å, c = 2.954 Å, α = 90.00°, β = 90.00° and γ = 90.00°. The distinct sites, in fractional coordinates, are Al at (0.000, 0.000, 0.000), B at (0.500, 0.500, 0.000) and Ir at (0.000, 0.500, 0.500).

As for the volume: 12.1 Å³ per atom. For the total energy, the calculation gives -28.86 eV/cell. Its density is 14.467 Mg/m³.


Ca2FeAs2 | PBE | relaxed

It has space group P4/mbm (No. 127), with a = 6.895 Å, b = 6.895 Å, c = 4.412 Å, α = 90.00°, β = 90.00° and γ = 90.00°. The distinct sites, in fractional coordinates, are Ca at (0.168, 0.332, 0.000), Fe at (0.000, 0.000, 0.500) and As at (0.145, 0.645, 0.500).

As for the volume: 21.0 Å³ per atom. For the total energy, the calculation gives -49.35 eV/cell. Its density is 4.526 Mg/m³.


Mn2CoSb | PBE | relaxed

It has space group Immm (No. 71), with a = 3.830 Å, b = 3.845 Å, c = 7.687 Å, α = 90.00°, β = 90.00° and γ = 90.00°. The distinct sites, in fractional coordinates, are Mn at (0.000, 0.000, 0.250), Co at (0.000, 0.500, 0.000) and Sb at (0.000, 0.500, 0.500).

The uncorrected formation energy comes out at 0.086 eV/atom. As for the volume: 14.1 Å³ per atom. Its density is 8.525 Mg/m³.


ScVSbTe2 | PBE | relaxed

It has space group P4/mmm (No. 123), with a = 5.281 Å, b = 5.281 Å, c = 5.108 Å, α = 90.00°, β = 90.00° and γ = 90.00°. The distinct sites, in fractional coordinates, are Sc at (0.000, 0.000, 0.000), V at (0.500, 0.500, 0.500), Sb at (0.500, 0.500, 0.000) and Te at (0.000, 0.500, 0.500).

The uncorrected formation energy comes out at 0.148 eV/atom. As for the volume: 28.5 Å³ per atom. Its density is 5.513 Mg/m³.


PrGaO3 | PBE | relaxed

It has space group Pm-3m (No. 221), with a = 4.649 Å, b = 4.649 Å, c = 4.649 Å, α = 90.00°, β = 90.00° and γ = 90.00°. The distinct sites, in fractional coordinates, are Pr at (0.000, 0.000, 0.000), Ga at (0.500, 0.500, 0.500) and O at (0.000, 0.000, 0.500).

The uncorrected formation energy comes out at -1.157 eV/atom. As for the volume: 20.1 Å³ per atom. Its density is 4.273 Mg/m³.


RePd | PBE | relaxed

It has space group Pmn2_1 (No. 31), with a = 10.126 Å, b = 2.754 Å, c = 7.207 Å, α = 90.00°, β = 90.00° and γ = 90.00°. The distinct sites, in fractional coordinates, are Re at (0.000, 0.057, 0.000), Re at (0.207, 0.494, 0.092), Pd at (0.000, 0.542, 0.689) and Pd at (0.129, 0.008, 0.385).

As for the volume: 16.7 Å³ per atom. For the total energy, the calculation gives -100.37 eV/cell. Its density is 14.507 Mg/m³.


YCuTe2I | PBE | relaxed

It has space group P4/mmm (No. 123), with a = 5.274 Å, b = 5.274 Å, c = 5.195 Å, α = 90.00°, β = 90.00° and γ = 90.00°. The distinct sites, in fractional coordinates, are Y at (0.000, 0.000, 0.000), Cu at (0.500, 0.500, 0.500), Te at (0.000, 0.500, 0.500) and I at (0.500, 0.500, 0.000).

The uncorrected formation energy comes out at -0.199 eV/atom. As for the volume: 28.9 Å³ per atom. Its density is 6.144 Mg/m³.


CdHg2Ir | PBE | relaxed

It has space group P4/mmm (No. 123), with a = 3.073 Å, b = 3.073 Å, c = 8.473 Å, α = 90.00°, β = 90.00° and γ = 90.00°. The distinct sites, in fractional coordinates, are Cd at (0.000, 0.000, 0.000), Hg at (0.500, 0.500, 0.278) and Ir at (0.000, 0.000, 0.500).

As for the volume: 20.0 Å³ per atom. For the total energy, the calculation gives -8.84 eV/cell. Its density is 14.648 Mg/m³.


CdMo2HAu | PBE | relaxed

It has space group P4/mmm (No. 123), with a = 3.907 Å, b = 3.907 Å, c = 4.683 Å, α = 90.00°, β = 90.00° and γ = 90.00°. The distinct sites, in fractional coordinates, are Cd at (0.000, 0.000, 0.000), Mo at (0.000, 0.500, 0.500), H at (0.000, 0.000, 0.500) and Au at (0.500, 0.500, 0.000).

As for the volume: 14.3 Å³ per atom. For the total energy, the calculation gives -27.79 eV/cell. Its density is 11.667 Mg/m³.


Al3AgBr | PBE | relaxed

It has space group Pm-3m (No. 221), with a = 4.997 Å, b = 4.997 Å, c = 4.997 Å, α = 90.00°, β = 90.00° and γ = 90.00°. The distinct sites, in fractional coordinates, are Al at (0.000, 0.000, 0.500), Ag at (0.000, 0.000, 0.000) and Br at (0.500, 0.500, 0.500).

The uncorrected formation energy comes out at 0.222 eV/atom. As for the volume: 25.0 Å³ per atom. Its density is 3.577 Mg/m³.


Ce2SiSe | PBE | relaxed

It has space group R3m (No. 160, hexagonal axes), with a = 4.1281 Å, b = 4.1281 Å, c = 21.8350 Å, α = 90.00°, β = 90.00° and γ = 120.00°. The distinct sites, in fractional coordinates, are Ce at (0.0000, 0.0000, 0.0000), Ce at (0.0000, 0.0000, 0.1667), Si at (0.0000, 0.0000, 0.7517) and Se at (0.0000, 0.0000, 0.5812).

The uncorrected formation energy comes out at -1.015 eV/atom. As for the volume: 26.9 Å³ per atom. Its density is 5.987 Mg/m³.


YNi6P2 | PBE | relaxed

It has space group Immm (No. 71), with a = 3.552 Å, b = 8.158 Å, c = 8.379 Å, α = 90.00°, β = 90.00° and γ = 90.00°. The distinct sites, in fractional coordinates, are Y at (0.000, 0.000, 0.000), Ni at (0.000, 0.208, 0.500), Ni at (0.000, 0.348, 0.226) and P at (0.000, 0.000, 0.333).

As for the volume: 13.5 Å³ per atom. For the total energy, the calculation gives -112.37 eV/cell. Its density is 6.880 Mg/m³.


BaLiPd2 | PBE | relaxed

It has space group P6_3/mmc (No. 194), with a = 4.5267 Å, b = 4.5267 Å, c = 10.9209 Å, α = 90.00°, β = 90.00° and γ = 120.00°. The distinct sites, in fractional coordinates, are Ba at (0.3333, 0.6667, 0.2500), Li at (0.0000, 0.0000, 0.0000) and Pd at (0.3333, 0.6667, 0.5437).

As for the volume: 24.2 Å³ per atom. For the total energy, the calculation gives -31.88 eV/cell. Its density is 6.120 Mg/m³.


LaTcAs2Se | PBE | relaxed

It has space group P4/mmm (No. 123), with a = 5.652 Å, b = 5.652 Å, c = 5.608 Å, α = 90.00°, β = 90.00° and γ = 90.00°. The distinct sites, in fractional coordinates, are La at (0.000, 0.000, 0.000), Tc at (0.500, 0.500, 0.500), As at (0.000, 0.500, 0.000) and Se at (0.000, 0.000, 0.500).

The uncorrected formation energy comes out at 1.066 eV/atom. As for the volume: 35.8 Å³ per atom. Its density is 4.317 Mg/m³.


Zn2CoIr | PBE | relaxed

It has space group C2/m (No. 12), with a = 8.591 Å, b = 2.775 Å, c = 4.572 Å, α = 90.00°, β = 102.51° and γ = 90.00°. The distinct sites, in fractional coordinates, are Zn at (0.247, 0.000, 0.243), Co at (0.000, 0.500, 0.000) and Ir at (0.000, 0.000, 0.500).

As for the volume: 13.3 Å³ per atom. For the total energy, the calculation gives -37.43 eV/cell. Its density is 11.923 Mg/m³.


Ba3DyMg4 | PBE | relaxed

It has space group P4/mmm (No. 123), with a = 4.129 Å, b = 4.129 Å, c = 17.442 Å, α = 90.00°, β = 90.00° and γ = 90.00°. The distinct sites, in fractional coordinates, are Ba at (0.000, 0.000, 0.000), Ba at (0.000, 0.000, 0.269), Dy at (0.000, 0.000, 0.500), Mg at (0.500, 0.500, 0.133) and Mg at (0.500, 0.500, 0.406).

As for the volume: 37.2 Å³ per atom. For the total energy, the calculation gives -17.02 eV/cell. Its density is 3.752 Mg/m³.


LiTh2Tl2Cd4 | PBE | relaxed

It has space group I4/mmm (No. 139), with a = 6.713 Å, b = 6.713 Å, c = 9.921 Å, α = 90.00°, β = 90.00° and γ = 90.00°. The distinct sites, in fractional coordinates, are Li at (0.000, 0.000, 0.000), Th at (0.000, 0.500, 0.250), Tl at (0.000, 0.000, 0.269) and Cd at (0.229, 0.229, 0.500).

As for the volume: 24.8 Å³ per atom. For the total energy, the calculation gives -52.57 eV/cell. Its density is 9.876 Mg/m³.


KY5 | PBE | relaxed

It has space group Cmmm (No. 65), with a = 5.216 Å, b = 15.573 Å, c = 5.197 Å, α = 90.00°, β = 90.00° and γ = 90.00°. The distinct sites, in fractional coordinates, are K at (0.000, 0.000, 0.000), Y at (0.000, 0.178, 0.500), Y at (0.000, 0.326, 0.000) and Y at (0.000, 0.500, 0.500).

As for the volume: 35.2 Å³ per atom. For the total energy, the calculation gives -62.97 eV/cell. Its density is 3.805 Mg/m³.


Ba2TlTcBi | PBE | relaxed

It has space group P4/mmm (No. 123), with a = 6.718 Å, b = 6.718 Å, c = 5.832 Å, α = 90.00°, β = 90.00° and γ = 90.00°. The distinct sites, in fractional coordinates, are Ba at (0.000, 0.500, 0.000), Tl at (0.000, 0.000, 0.500), Tc at (0.500, 0.500, 0.500) and Bi at (0.000, 0.000, 0.000).

As for the volume: 52.6 Å³ per atom. For the total energy, the calculation gives -16.16 eV/cell. Its density is 4.959 Mg/m³.


Ti6BiC | PBE | relaxed

It has space group R-3m (No. 166, hexagonal axes), with a = 8.2068 Å, b = 8.2068 Å, c = 7.0059 Å, α = 90.00°, β = 90.00° and γ = 120.00°. The distinct sites, in fractional coordinates, are Ti at (0.0769, 0.5385, 0.3126), Bi at (0.0000, 0.0000, 0.0000) and C at (0.0000, 0.0000, 0.5000).

As for the volume: 17.0 Å³ per atom. For the total energy, the calculation gives -187.61 eV/cell. Its density is 6.195 Mg/m³.


ReRu2Cl | PBE | relaxed

It has space group R-3m (No. 166, hexagonal axes), with a = 2.8350 Å, b = 2.8350 Å, c = 25.3780 Å, α = 90.00°, β = 90.00° and γ = 120.00°. The distinct sites, in fractional coordinates, are Re at (0.0000, 0.0000, 0.0000), Ru at (0.0000, 0.0000, 0.2502) and Cl at (0.0000, 0.0000, 0.5000).

The uncorrected formation energy comes out at 0.301 eV/atom. As for the volume: 14.7 Å³ per atom. Its density is 11.952 Mg/m³.